(1)
First-principles (GGA-PBE) data for a geometry-optimized Mn2InRe structure, as listed in Alexandria.

formation energy = 352 meV per atom
energy = -8.029 eV per atom

```
Mn2InRe
1.0
1.455 0.840 8.699
-1.455 0.840 8.699
0.000 -1.680 8.699
Mn In Re
2 1 1
direct
0.243 0.243 0.243
0.757 0.757 0.757
0.000 0.000 0.000
0.500 0.500 0.500
```

(2)
First-principles (GGA-PBE) data for a geometry-optimized MnInRe2 structure, as listed in Alexandria.

formation energy = 375 meV per atom
energy = -8.826 eV per atom

```
MnInRe2
1.0
2.797 0.000 0.000
0.000 2.797 0.000
0.000 0.000 7.796
Mn In Re
1 1 2
direct
0.000 0.000 0.000
0.000 0.000 0.500
0.500 0.500 0.213
0.500 0.500 0.787
```

(3)
First-principles (GGA-PBE) data for a geometry-optimized Mn2InRe structure, as listed in Alexandria.

formation energy = 337 meV per atom
energy = -8.045 eV per atom

```
Mn2InRe
1.0
4.502 0.000 0.000
0.000 4.502 0.000
0.000 0.000 3.022
Mn In Re
2 1 1
direct
0.000 0.500 0.000
0.500 0.000 0.000
0.000 0.000 0.500
0.500 0.500 0.500
```

Question: What is the formation energy in the second record?
Answer: 375 meV per atom

Question: Among the records above, which one has the lowest energy?
Answer: MnInRe2

Question: energy of number 1 (Mn2InRe)?
Answer: -8.029 eV per atom